Compound: AsWSe2O
Source: Alexandria via LeMat-Bulk
Functional: PBE+U
Structure: relaxed

## Properties
E_tot (eV per atom): -4.469
Density of states at the Fermi level (states/eV/f.u.): 2.2
Magnetic moment (μB/f.u.): 3.4
Calculated density (kg/m³): 7396
Energy relative to the lowest polymorph listed for this composition (kJ per mole of atoms): 45.1

Cell lengths 5.1047, 5.1047, 3.7279 Å; angles 90.00, 90.00, 90.00 degrees
With the nearest neighbours (Å) after each atom.
Space group P4/mmm (No. 123)
Symmetry-distinct sites (fractional):
As 0.0000 0.0000 0.0000 x1  2 O 1.86
W 0.5000 0.5000 0.5000 x1  8 Se 3.16
Se 0.0000 0.5000 0.0000 x2  2 As 2.55
O 0.0000 0.0000 0.5000 x1  2 As 1.86